Compound: Li4HoSn2
Source: the Alexandria database
Functional: PBE-GGA
Structure: optimized geometry

POSCAR file:
```
Li4HoSn2
1.0
-4.049 1.377 -1.769
-3.810 -3.825 5.746
0.247 6.483 4.480
Li Ho Sn
8 2 4
Cartesian
-0.334 1.905 2.247
-3.229 0.753 7.979
-2.410 4.111 2.662
-5.203 -0.076 5.796
-3.295 4.771 5.201
-4.318 -0.736 3.257
-1.341 -0.655 2.561
-2.222 3.313 7.665
-2.025 0.688 -0.884
-1.782 1.329 5.113
-0.596 4.341 4.743
-2.967 -1.683 5.483
-4.547 2.570 6.354
-3.066 1.465 2.104
```

=====

Compound: Li2HoSn
Source: the Alexandria database
Functional: PBE-GGA
Structure: optimized geometry

POSCAR file:
```
Li2HoSn
1.0
4.832 0.000 0.000
0.000 4.367 0.000
0.000 0.000 4.367
Li Ho Sn
2 1 1
Cartesian
0.000 0.000 2.184
0.000 2.184 0.000
2.416 2.184 2.184
2.416 0.000 0.000
```

=====

Compound: LiHoSn
Source: the Alexandria database
Functional: PBE-GGA
Structure: optimized geometry

POSCAR file:
```
LiHoSn
1.0
-3.357 2.577 2.187
-4.332 -1.851 0.702
0.079 -2.906 8.599
Li Ho Sn
2 2 2
Cartesian
-2.878 -1.748 4.900
-6.656 -0.045 2.306
-4.279 1.314 4.348
-4.727 -2.353 7.905
-3.897 -0.524 1.914
-5.636 -1.275 5.298
```

=====

Compound: LiHoSn
Source: the Alexandria database
Functional: PBE-GGA
Structure: optimized geometry

POSCAR file:
```
LiHoSn
1.0
-2.890 -1.403 -3.841
0.694 -3.098 3.873
-5.588 2.750 3.201
Sn Ho Li
2 2 2
Cartesian
-4.193 2.063 2.401
-1.395 0.687 0.799
-5.460 -0.092 4.142
-2.325 -1.658 -0.909
-5.185 -0.251 0.729
-2.600 -1.500 2.504
```

=====

Compound: LiHoSn4
Source: the Alexandria database
Functional: PBE-GGA
Structure: optimized geometry

POSCAR file:
```
LiHoSn4
1.0
-0.786 -4.959 -2.641
1.710 -2.714 4.587
-8.919 -0.266 3.167
Li Ho Sn
2 2 8
Cartesian
-4.853 -2.613 0.263
-3.605 -1.490 3.877
0.000 0.000 0.000
0.462 -3.837 0.973
-0.767 -1.407 2.868
-5.981 -5.409 5.858
-2.582 -3.931 2.053
-6.661 -5.132 -0.552
-7.229 -6.533 2.245
-2.015 -2.530 -0.746
-5.414 -4.008 3.060
-1.334 -2.807 5.664
```

=====

Compound: Li6HoSn4
Source: the Alexandria database
Functional: PBE-GGA
Structure: optimized geometry

POSCAR file:
```
Li6HoSn4
1.0
4.496 0.000 0.000
0.000 7.612 0.000
0.000 -3.806 6.593
Li Ho Sn
6 1 4
Cartesian
0.000 3.806 0.479
2.248 1.360 5.180
0.000 2.318 3.057
0.000 5.294 3.057
2.248 -1.360 5.180
2.248 0.000 2.824
0.000 0.000 0.000
2.248 3.806 4.033
2.248 2.217 1.280
2.248 5.396 1.280
0.000 0.000 4.395
```

=====

PBE-GGA Li3HoSn3, optimized geometry; ΔE to the lowest computed polymorph = 0 meV per atom
1.0
8.300 0.000 0.000
4.150 7.188 0.000
4.150 2.396 5.824
Li Ho Sn
6 2 6
Cartesian
9.742 7.101 3.785
9.578 2.389 3.785
5.579 4.886 3.785
11.020 4.698 2.039
7.021 7.195 2.039
6.858 2.483 2.039
8.300 4.792 5.802
8.300 4.792 0.022
5.372 5.062 0.995
9.530 2.122 0.995
9.997 7.192 0.995
6.602 2.391 4.829
7.069 7.462 4.829
11.227 4.522 4.829

=====

PBE-GGA Li6HoSn6, optimized geometry; ΔE to the lowest computed polymorph = 0 meV per atom
1.0
5.237 0.000 2.287
2.371 6.829 1.709
-0.124 -0.232 7.423
Li Ho Sn
6 1 6
Cartesian
1.186 3.414 0.855
3.804 3.414 1.998
-0.062 -0.116 3.712
2.556 -0.116 4.855
4.363 5.054 4.288
3.121 1.543 7.131
0.000 0.000 0.000
3.241 4.405 6.858
4.243 2.192 4.561
0.738 2.208 5.449
1.509 4.389 3.684
2.135 1.067 2.250
5.349 5.530 9.168

=====

Compound: LiHo3Sn2
Source: the Alexandria database
Functional: PBE-GGA
Structure: optimized geometry

POSCAR file:
```
LiHo3Sn2
1.0
6.319 0.000 0.000
0.000 6.281 0.000
-3.159 -3.141 8.136
Li Ho Sn
2 6 4
Cartesian
0.000 1.570 0.000
0.000 4.711 0.000
1.553 3.141 2.876
1.606 0.000 5.260
-1.606 3.141 5.260
4.765 0.000 2.876
3.159 4.711 0.000
3.159 1.570 0.000
1.533 0.000 2.146
1.627 3.141 5.990
-1.627 0.000 5.990
4.786 3.141 2.146
```

=====

Compound: LiHo3Sn12
Source: the Alexandria database
Functional: PBE-GGA
Structure: optimized geometry

POSCAR file:
```
LiHo3Sn12
1.0
-0.920 4.367 1.290
-2.272 0.701 -3.991
-16.230 -5.844 8.211
Li Ho Sn
1 3 12
Cartesian
0.000 0.000 0.000
-4.101 -1.477 2.075
-8.115 -2.922 4.106
-12.130 -4.367 6.136
-1.596 2.534 -1.351
-5.582 1.099 0.666
-9.711 -0.388 2.755
-13.840 -1.875 4.844
-2.426 1.476 1.640
-6.531 -0.002 3.717
-10.619 -1.474 5.785
-14.724 -2.952 7.861
-3.102 -0.358 -1.001
-7.207 -1.836 1.076
-11.295 -3.307 3.144
-15.400 -4.785 5.221
```

=====

Compound: LiHoSn3
Source: the Alexandria database
Functional: PBE-GGA
Structure: optimized geometry

POSCAR file:
```
LiHoSn3
1.0
-1.136 1.981 5.729
0.266 -5.779 2.051
12.728 1.319 2.067
Li Ho Sn
4 4 12
Cartesian
0.881 -0.311 3.602
11.545 -3.158 3.380
10.977 -2.168 6.245
1.449 -1.302 0.737
8.054 -0.520 6.756
3.804 -1.959 3.091
3.106 1.871 4.948
8.752 -4.350 4.899
6.466 -0.781 1.552
5.959 -2.688 5.430
6.527 -3.679 2.566
5.898 0.209 4.417
11.443 0.662 3.699
0.415 -3.141 6.148
0.946 -3.329 2.998
10.912 0.850 6.849
9.189 -1.428 3.975
2.668 -1.051 5.872
3.104 0.844 1.983
8.754 -3.324 7.864
```

=====

PBE-GGA Li6HoSn6, optimized geometry; ΔE to the lowest computed polymorph = 8 meV per atom
1.0
-3.620 -2.893 -3.477
5.690 -0.008 -1.089
1.000 -7.601 5.282
Li Ho Sn
6 1 6
Cartesian
3.599 -5.734 3.437
-1.056 -7.177 2.244
1.789 -7.181 1.699
-1.564 -3.317 -0.439
3.091 -1.875 0.755
1.281 -3.321 -0.983
0.000 0.000 0.000
0.654 -4.971 3.455
0.346 -2.630 1.828
2.587 -0.970 -1.885
-0.517 -1.931 -2.681
3.087 -4.770 0.756
-0.016 -5.732 -0.040

=====

The DFT total energy results, record by record, are as follows: -46.81 -13.76 -22.05 -22.72 -48.20 -35.39 -47.97 -44.85 -53.42 -69.18 -81.98 -44.74 eV for the cell shown.